# 1
First-principles (GGA+U) data for crystalline CoRhPb2O5 at its relaxed geometry, as listed in the Alexandria database.

Unit cell a=7.0098 b=7.0098 c=11.3318 alpha=90.00 beta=90.00 gamma=152.50
Closest atoms and distances in Å follow each position.
Atoms (fractional coordinates):
1 Co 0.0477 0.9523 0.5000  4 O 1.92-2.03
2 Co 0.9523 0.0477 0.0000  4 O 1.92-2.03
3 Rh 0.2879 0.7121 0.0972  6 O 2.03-2.12
4 Rh 0.7121 0.2879 0.5972  6 O 2.03-2.12
5 Pb 0.3541 0.6459 0.3707  5 O 2.46-2.71
6 Pb 0.4133 0.5867 0.7152  6 O 2.38-2.63
7 Pb 0.5867 0.4133 0.2152  6 O 2.38-2.63
8 Pb 0.6459 0.3541 0.8707  5 O 2.46-2.71
9 O 0.0142 0.9858 0.8474  1 Co 1.92
10 O 0.1401 0.8599 0.0729  1 Rh 2.03
11 O 0.1960 0.8040 0.4870  1 Co 2.03, 2 Rh 2.09
12 O 0.2250 0.7750 0.7076  2 Rh 2.09
13 O 0.4438 0.5562 0.0943  2 Co 1.98, 1 Rh 2.12
14 O 0.5562 0.4438 0.5943  2 Co 1.98, 1 Rh 2.12
15 O 0.7750 0.2250 0.2076  2 Rh 2.09
16 O 0.8040 0.1960 0.9870  1 Co 2.03, 2 Rh 2.09
17 O 0.8599 0.1401 0.5729  1 Rh 2.03
18 O 0.9858 0.0142 0.3474  1 Co 1.92

Calculated total energy: -105.3 eV/cell
Density: 8.477 Mg/m³


# 2
First-principles (GGA+U) data for crystalline HfMoN2F at its relaxed geometry, as listed in the Alexandria database.

Unit cell a=4.2384 b=4.2384 c=3.9953 alpha=90.00 beta=90.00 gamma=90.00
Closest atoms and distances in Å follow each position.
Atoms (fractional coordinates):
1 Hf 0.0000 0.0000 0.0000  2 F 2.00, 4 N 2.12
2 Mo 0.5000 0.5000 0.5000  8 N 2.91, 4 F 3.00
3 N 0.0000 0.5000 0.0000  2 Hf 2.12
4 N 0.5000 0.0000 0.0000  2 Hf 2.12
5 F 0.0000 0.0000 0.5000  2 Hf 2.00

Calculated total energy: -38.3 eV/cell
Density: 7.437 Mg/m³
Offset from the most stable computed form: 0 meV/atom


> Among the records above, which one has the highest calculated total energy?

HfMoN2F


> Look up the calculated total energy of the first one.

-105.3 eV/cell


> The highest density belongs to which entry?

CoRhPb2O5